No. 1
A relaxed structure of Lu2ThAu. Source: Alexandria, functional PBE-GGA.

Output
energy relative to the lowest polymorph listed for this composition: 23.54 kJ/mol of atoms
N(E_F): 6.35 states/eV/cell

Unit cell a=4.7056 b=4.7056 c=4.7448 alpha=90.00 beta=90.00 gamma=90.00
Last column: nearest neighbours and their distance in Å.
Space group P4/mmm (No. 123)
Symmetry-distinct sites (fractional):
Lu: 0.0000 0.5000 0.0000 [2 per cell]  4 Lu 3.33, 4 Th 3.34, 4 Au 3.34
Th: 0.0000 0.0000 0.5000 [1 per cell]  4 Au 3.33, 8 Lu 3.34
Au: 0.5000 0.5000 0.5000 [1 per cell]  4 Th 3.33, 8 Lu 3.34


No. 2
A relaxed structure of LuThTlAu. Source: Alexandria, functional PBE-GGA.

Output
calculated total energy: -19.11 eV/f.u.
N(E_F): 14.40 states/eV/cell

Unit cell a=7.4832 b=7.4832 c=7.4832 alpha=90.00 beta=90.00 gamma=90.00
Last column: nearest neighbours and their distance in Å.
Space group F-43m (No. 216)
Symmetry-distinct sites (fractional):
Lu: 0.0000 0.0000 0.0000 [4 per cell]  4 Tl 3.24, 4 Au 3.24
Th: 0.0000 0.0000 0.5000 [4 per cell]  4 Tl 3.24, 4 Au 3.24
Tl: 0.2500 0.2500 0.2500 [4 per cell]  4 Th 3.24, 4 Lu 3.24
Au: 0.2500 0.2500 0.7500 [4 per cell]  4 Lu 3.24, 4 Th 3.24


No. 3
A relaxed structure of LuTiAu2. Source: Alexandria, functional PBE-GGA.

Output
energy relative to the lowest polymorph listed for this composition: 0.00 kJ/mol of atoms
N(E_F): 3.07 states/eV/cell

Unit cell a=3.4058 b=3.4058 c=6.7831 alpha=90.00 beta=90.00 gamma=90.00
Last column: nearest neighbours and their distance in Å.
Space group P4/mmm (No. 123)
Symmetry-distinct sites (fractional):
Lu: 0.0000 0.0000 0.0000 [1 per cell]  8 Au 3.03, 2 Ti 3.39
Ti: 0.0000 0.0000 0.5000 [1 per cell]  8 Au 2.87
Au: 0.5000 0.5000 0.2711 [2 per cell]  4 Ti 2.87, 4 Lu 3.03, 1 Au 3.11


No. 4
A relaxed structure of LuTiAu2. Source: Alexandria, functional PBE-GGA.

Output
energy relative to the lowest polymorph listed for this composition: 3.03 kJ/mol of atoms
N(E_F): 20.85 states/eV/cell

Unit cell a=6.8209 b=6.8209 c=6.8209 alpha=90.00 beta=90.00 gamma=90.00
Last column: nearest neighbours and their distance in Å.
Space group Fm-3m (No. 225)
Symmetry-distinct sites (fractional):
Lu: 0.0000 0.0000 0.0000 [4 per cell]  8 Au 2.95
Ti: 0.0000 0.0000 0.5000 [4 per cell]  8 Au 2.95
Au: 0.2500 0.2500 0.2500 [8 per cell]  4 Ti 2.95, 4 Lu 2.95


No. 5
A relaxed structure of Lu2TiAu. Source: Alexandria, functional PBE-GGA.

Output
calculated total energy: -21.51 eV/f.u.
N(E_F): 3.39 states/eV/cell

Unit cell a=3.3481 b=3.3481 c=8.0007 alpha=90.00 beta=90.00 gamma=90.00
Last column: nearest neighbours and their distance in Å.
Space group P4/mmm (No. 123)
Symmetry-distinct sites (fractional):
Lu: 0.0000 0.0000 0.2414 [2 per cell]  4 Au 3.06, 4 Ti 3.14, 4 Lu 3.35
Ti: 0.5000 0.5000 0.5000 [1 per cell]  8 Lu 3.14, 4 Ti 3.35
Au: 0.5000 0.5000 0.0000 [1 per cell]  8 Lu 3.06, 4 Au 3.35


No. 6
A relaxed structure of LuTlAu2. Source: Alexandria, functional PBE-GGA.

Output
energy relative to the lowest polymorph listed for this composition: 1.39 kJ/mol of atoms
N(E_F): 6.36 states/eV/cell

Unit cell a=7.0347 b=7.0347 c=7.0347 alpha=90.00 beta=90.00 gamma=90.00
Last column: nearest neighbours and their distance in Å.
Space group Fm-3m (No. 225)
Symmetry-distinct sites (fractional):
Lu: 0.0000 0.0000 0.0000 [4 per cell]  8 Au 3.05
Tl: 0.0000 0.0000 0.5000 [4 per cell]  8 Au 3.05
Au: 0.2500 0.2500 0.2500 [8 per cell]  4 Tl 3.05, 4 Lu 3.05


No. 7
A relaxed structure of LuTlAu. Source: Alexandria, functional PBE-GGA.

Output
calculated total energy: -11.50 eV/f.u.
N(E_F): 2.68 states/eV/cell

Unit cell a=3.5663 b=3.5663 c=11.3527 alpha=90.00 beta=90.00 gamma=90.00
Last column: nearest neighbours and their distance in Å.
Space group I4mm (No. 107)
Symmetry-distinct sites (fractional):
Lu: 0.0000 0.0000 0.0000 [2 per cell]  4 Au 2.93
Tl: 0.0000 0.0000 0.6971 [2 per cell]  4 Au 3.19, 5 Lu 3.37-3.44, 4 Tl 3.57
Au: 0.0000 0.0000 0.3690 [2 per cell]  4 Lu 2.93, 4 Tl 3.19


No. 8
A relaxed structure of LuTlAu2. Source: Alexandria, functional PBE-GGA.

Output
energy relative to the lowest polymorph listed for this composition: 9.97 kJ/mol of atoms
N(E_F): 3.00 states/eV/cell

Unit cell a=4.8210 b=4.8210 c=3.8025 alpha=90.00 beta=90.00 gamma=90.00
Last column: nearest neighbours and their distance in Å.
Space group P4/mmm (No. 123)
Symmetry-distinct sites (fractional):
Lu: 0.0000 0.0000 0.0000 [1 per cell]  8 Au 3.07, 4 Tl 3.41
Tl: 0.5000 0.5000 0.0000 [1 per cell]  8 Au 3.07, 4 Lu 3.41
Au: 0.0000 0.5000 0.5000 [2 per cell]  4 Tl 3.07, 4 Lu 3.07, 4 Au 3.41


No. 9
A relaxed structure of LuTlAu. Source: Alexandria, functional PBE-GGA.

Output
calculated total energy: -11.46 eV/f.u.
N(E_F): 0.89 states/eV/cell

Unit cell a=4.8763 b=4.8763 c=3.3405 alpha=90.00 beta=90.00 gamma=120.00
Last column: nearest neighbours and their distance in Å.
Space group P-6m2 (No. 187)
Symmetry-distinct sites (fractional):
Lu: 0.0000 0.0000 0.0000 [1 per cell]  6 Au 3.27, 6 Tl 3.27, 2 Lu 3.34
Tl: 0.3333 0.6667 0.5000 [1 per cell]  3 Au 2.82
Au: 0.6667 0.3333 0.5000 [1 per cell]  3 Tl 2.82


No. 10
A relaxed structure of Lu2TlAu. Source: Alexandria, functional PBE-GGA.

Output
calculated total energy: -16.57 eV/f.u.
N(E_F): 10.44 states/eV/cell

Unit cell a=3.7751 b=3.7751 c=25.7037 alpha=90.00 beta=90.00 gamma=120.00
Last column: nearest neighbours and their distance in Å.
Space group R-3m (No. 166, hexagonal axes)
Symmetry-distinct sites (fractional):
Lu: 0.0000 0.0000 0.2401 [6 per cell]  3 Au 2.88
Tl: 0.0000 0.0000 0.0000 [3 per cell]  6 Lu 3.24
Au: 0.0000 0.0000 0.5000 [3 per cell]  6 Lu 2.88


No. 11
A relaxed structure of LuTlAu2. Source: Alexandria, functional PBE-GGA.

Output
energy relative to the lowest polymorph listed for this composition: 8.56 kJ/mol of atoms
N(E_F): 5.86 states/eV/cell

Unit cell a=3.9134 b=3.9134 c=22.6556 alpha=90.00 beta=90.00 gamma=120.00
Last column: nearest neighbours and their distance in Å.
Space group R-3m (No. 166, hexagonal axes)
Symmetry-distinct sites (fractional):
Lu: 0.0000 0.0000 0.0000 [3 per cell]  6 Au 2.88
Tl: 0.0000 0.0000 0.5000 [3 per cell]  6 Au 3.01
Au: 0.0000 0.0000 0.2543 [6 per cell]  3 Lu 2.88, 3 Tl 3.01


No. 12
A relaxed structure of LuTlAu2. Source: Alexandria, functional PBE-GGA.

Output
energy relative to the lowest polymorph listed for this composition: 0.00 kJ/mol of atoms
N(E_F): 1.60 states/eV/cell

Unit cell a=3.6622 b=3.6622 c=6.7210 alpha=90.00 beta=90.00 gamma=90.00
Last column: nearest neighbours and their distance in Å.
Space group P4/mmm (No. 123)
Symmetry-distinct sites (fractional):
Lu: 0.0000 0.0000 0.0000 [1 per cell]  8 Au 2.99
Tl: 0.0000 0.0000 0.5000 [1 per cell]  8 Au 3.20, 2 Lu 3.36
Au: 0.5000 0.5000 0.2210 [2 per cell]  1 Au 2.97, 4 Lu 2.99, 4 Tl 3.20


No. 13
A relaxed structure of Lu2TlAu. Source: Alexandria, functional PBE-GGA.

Output
calculated total energy: -17.06 eV/f.u.
N(E_F): 2.61 states/eV/cell

Unit cell a=3.5592 b=3.5592 c=7.5655 alpha=90.00 beta=90.00 gamma=90.00
Last column: nearest neighbours and their distance in Å.
Space group P4/mmm (No. 123)
Symmetry-distinct sites (fractional):
Lu: 0.0000 0.0000 0.2285 [2 per cell]  4 Au 3.05, 4 Tl 3.25
Tl: 0.5000 0.5000 0.5000 [1 per cell]  8 Lu 3.25, 4 Tl 3.56
Au: 0.5000 0.5000 0.0000 [1 per cell]  8 Lu 3.05


No. 14
A relaxed structure of LuZrTlAu. Source: Alexandria, functional PBE-GGA.

Output
calculated total energy: -20.04 eV/f.u.
N(E_F): 10.57 states/eV/cell

Unit cell a=7.1399 b=7.1399 c=7.1399 alpha=90.00 beta=90.00 gamma=90.00
Last column: nearest neighbours and their distance in Å.
Space group F-43m (No. 216)
Symmetry-distinct sites (fractional):
Lu: 0.0000 0.0000 0.0000 [4 per cell]  4 Tl 3.09, 4 Au 3.09
Zr: 0.0000 0.0000 0.5000 [4 per cell]  4 Tl 3.09, 4 Au 3.09
Tl: 0.2500 0.2500 0.7500 [4 per cell]  4 Zr 3.09, 4 Lu 3.09
Au: 0.2500 0.2500 0.2500 [4 per cell]  4 Zr 3.09, 4 Lu 3.09


No. 15
A relaxed structure of TmLuAu2. Source: Alexandria, functional PBE-GGA.

Output
calculated total energy: -19.11 eV/f.u.
N(E_F): 8.08 states/eV/cell

Unit cell a=7.0823 b=7.0823 c=7.0823 alpha=90.00 beta=90.00 gamma=90.00
Last column: nearest neighbours and their distance in Å.
Space group Fm-3m (No. 225)
Symmetry-distinct sites (fractional):
Tm: 0.0000 0.0000 0.0000 [4 per cell]  8 Au 3.07
Lu: 0.0000 0.0000 0.5000 [4 per cell]  8 Au 3.07
Au: 0.2500 0.2500 0.2500 [8 per cell]  4 Tm 3.07, 4 Lu 3.07


What did we get for total magnetization? Answer: 0.00 2.93 1.23 5.77 0.00 0.00 0.00 0.00 0.00 0.00 0.00 0.00 0.00 3.86 0.00 μB per cell, in the order shown.
What did we get for volume? Answer: 105.06 104.76 78.68 79.34 89.69 87.03 72.20 88.38 68.79 105.75 100.16 90.14 95.84 90.99 88.81 Å³/f.u., in the order shown.